This record from Alexandria describes a relaxed MnMo2P crystal. The functional is PBE-GGA.

Lattice parameters (Å, degrees): 2.9222 2.9222 23.6396 90.00 90.00 120.00
Space group R-3m (No. 166, hexagonal axes)
One atom of each set of equivalent atoms:
Mn 0.0000 0.0000 0.0000 (multiplicity 3)
Mo 0.0000 0.0000 0.2451 (multiplicity 6)
P 0.0000 0.0000 0.5000 (multiplicity 3)

Properties
Magnetic moment (μB/f.u.): 2.446
Energy of formation (meV per atom): 145